No. 1
A plane-wave DFT calculation with PBE-GGA was carried out for crystalline NaHf2Fe at its relaxed geometry.

Calculated values
Formation energy from the elements ... 0.418 eV/atom
ΔE to the lowest computed polymorph ... 0 meV/atom
Total magnetization ... 0.0 μB/f.u.

```
data_NaHf2Fe
_chemical_formula_sum 'Na4 Hf8 Fe4'
_cell_length_a 6.5845
_cell_length_b 6.5845
_cell_length_c 6.5845
_cell_angle_alpha 90.00
_cell_angle_beta 90.00
_cell_angle_gamma 90.00
_space_group_name_H-M_alt 'F m -3 m'
_space_group_IT_number 225
_space_group_name_Hall '-F 4 2 3'
loop_
_atom_site_label
_atom_site_fract_x
_atom_site_fract_y
_atom_site_fract_z
Na1 0.0000 0.0000 0.0000
Hf1 0.2500 0.2500 0.2500
Fe1 0.0000 0.0000 0.5000
```

***

No. 2
A plane-wave DFT calculation with PBE-GGA was carried out for crystalline NaHfFe2Ru at its relaxed geometry.

Calculated values
Formation energy from the elements ... 1.496 eV/atom
Total magnetization ... 4.9 μB/f.u.

```
data_NaHfFe2Ru
_chemical_formula_sum 'Na1 Hf1 Fe2 Ru1'
_cell_length_a 4.2374
_cell_length_b 4.2374
_cell_length_c 4.6743
_cell_angle_alpha 90.00
_cell_angle_beta 90.00
_cell_angle_gamma 90.00
_space_group_name_H-M_alt 'P 4/m m m'
_space_group_IT_number 123
_space_group_name_Hall '-P 4 2'
loop_
_atom_site_label
_atom_site_fract_x
_atom_site_fract_y
_atom_site_fract_z
Na1 0.0000 0.0000 0.0000
Hf1 0.5000 0.5000 0.5000
Fe1 0.0000 0.5000 0.0000
Ru1 0.0000 0.0000 0.5000
```

***

No. 3
A plane-wave DFT calculation with PBE-GGA was carried out for crystalline NaHfFe2Sb at its relaxed geometry.

Calculated values
Raw formation energy ... 1.68 eV per atom
ΔE to the lowest computed polymorph ... 401 meV/atom
Total magnetization ... 0.1 μB/f.u.

```
data_NaHfFe2Sb
_chemical_formula_sum 'Na1 Hf1 Fe2 Sb1'
_cell_length_a 4.3844
_cell_length_b 4.3844
_cell_length_c 4.8604
_cell_angle_alpha 90.00
_cell_angle_beta 90.00
_cell_angle_gamma 90.00
_space_group_name_H-M_alt 'P 4/m m m'
_space_group_IT_number 123
_space_group_name_Hall '-P 4 2'
loop_
_atom_site_label
_atom_site_fract_x
_atom_site_fract_y
_atom_site_fract_z
Na1 0.0000 0.0000 0.0000
Hf1 0.5000 0.5000 0.5000
Fe1 0.0000 0.5000 0.0000
Sb1 0.0000 0.0000 0.5000
```

***

No. 4
A plane-wave DFT calculation with PBE-GGA was carried out for crystalline NaHfFe2Sb at its relaxed geometry.

Calculated values
Raw formation energy ... 1.27 eV per atom
ΔE to the lowest computed polymorph ... 0 meV/atom
Total magnetization ... 3.4 μB/f.u.

```
data_NaHfFe2Sb
_chemical_formula_sum 'Na1 Hf1 Fe2 Sb1'
_cell_length_a 4.6189
_cell_length_b 4.6189
_cell_length_c 5.4572
_cell_angle_alpha 90.00
_cell_angle_beta 90.00
_cell_angle_gamma 90.00
_space_group_name_H-M_alt 'P 4/m m m'
_space_group_IT_number 123
_space_group_name_Hall '-P 4 2'
loop_
_atom_site_label
_atom_site_fract_x
_atom_site_fract_y
_atom_site_fract_z
Na1 0.0000 0.0000 0.0000
Hf1 0.0000 0.0000 0.5000
Fe1 0.0000 0.5000 0.5000
Sb1 0.5000 0.5000 0.0000
```